Below is a relaxed AcGdNi2 crystal, with properties calculated at the PBE-GGA level.

Lattice parameters (Å, degrees): 4.623 4.623 5.746 66.28 66.28 60.00
Last column: magnetic moment on the atom in μB.
Element x y z (fractional)
Ac: 0.000 0.000 0.000  0.01
Ni: 0.214 0.214 0.357  -0.01
Gd: 0.500 0.500 0.500  7.03
Ni: 0.786 0.786 0.643  -0.01

Calculated values
As for the formation energy: -0.226 eV per atom.

Below is a relaxed AcGdNi2 crystal, with properties calculated at the PBE-GGA level.

Lattice parameters (Å, degrees): 5.025 5.025 5.025 60.00 60.00 60.00
Last column: magnetic moment on the atom in μB.
Element x y z (fractional)
Ni: 0.750 0.750 0.750  0.02
Ac: 0.500 0.500 0.500  -0.02
Ni: 0.250 0.250 0.250  0.02
Gd: 0.000 0.000 0.000  -7.00

Calculated values
As for the formation energy: -0.185 eV per atom.

Below is a relaxed AcGdNi4 crystal, with properties calculated at the PBE-GGA level.

Lattice parameters (Å, degrees): 5.222 5.222 5.222 60.00 60.00 60.00
Last column: magnetic moment on the atom in μB.
Element x y z (fractional)
Ni: 0.626 0.626 0.626  0.00
Ac: 0.250 0.250 0.250  0.01
Gd: 0.000 0.000 0.000  6.98
Ni: 0.626 0.122 0.626  0.00
Ni: 0.122 0.626 0.626  0.00
Ni: 0.626 0.626 0.122  0.00

Calculated values
As for the formation energy: -0.274 eV per atom.

Below is a relaxed AcGdNi2 crystal, with properties calculated at the PBE-GGA level.

Lattice parameters (Å, degrees): 3.564 3.564 7.015 90.00 90.00 90.00
Last column: magnetic moment on the atom in μB.
Element x y z (fractional)
Ac: 0.500 0.500 0.500  0.01
Ni: 0.000 0.000 0.215  0.02
Ni: 0.000 0.000 0.785  0.02
Gd: 0.500 0.500 0.000  7.01

Calculated values
As for the formation energy: -0.211 eV per atom.

Below is a relaxed AcGd3Ni crystal, with properties calculated at the PBE-GGA level.

Lattice parameters (Å, degrees): 5.454 5.454 5.454 90.00 90.00 90.00
Last column: magnetic moment on the atom in μB.
Element x y z (fractional)
Gd: 0.000 0.000 0.500  7.12
Ni: 0.000 0.000 0.000  0.07
Ac: 0.500 0.500 0.500  0.12
Gd: 0.500 0.000 0.000  7.12
Gd: 0.000 0.500 0.000  7.12

Calculated values
As for the formation energy: -0.085 eV per atom.

Below is a relaxed AcGdNiPd crystal, with properties calculated at the PBE-GGA level.

Lattice parameters (Å, degrees): 5.129 5.129 5.129 60.00 60.00 60.00
Last column: magnetic moment on the atom in μB.
Element x y z (fractional)
Ac: 0.000 0.000 0.000  0.01
Pd: 0.750 0.750 0.750  0.00
Gd: 0.500 0.500 0.500  7.01
Ni: 0.250 0.250 0.250  -0.03

Calculated values
As for the formation energy: -0.445 eV per atom.

Below is a relaxed AcGdTlNi crystal, with properties calculated at the PBE-GGA level.

Lattice parameters (Å, degrees): 5.391 5.391 5.391 60.00 60.00 60.00
Last column: magnetic moment on the atom in μB.
Element x y z (fractional)
Tl: 0.750 0.750 0.750  0.00
Ac: 0.500 0.500 0.500  0.00
Gd: 0.000 0.000 0.000  7.01
Ni: 0.250 0.250 0.250  -0.01

Calculated values
As for the formation energy: -0.142 eV per atom.

Below is a relaxed AcGdZnNi crystal, with properties calculated at the PBE-GGA level.

Lattice parameters (Å, degrees): 5.188 5.188 5.188 60.00 60.00 60.00
Last column: magnetic moment on the atom in μB.
Element x y z (fractional)
Ac: 0.500 0.500 0.500  0.00
Zn: 0.750 0.750 0.750  0.00
Ni: 0.250 0.250 0.250  0.02
Gd: 0.000 0.000 0.000  -7.01

Calculated values
As for the formation energy: -0.194 eV per atom.

Below is a relaxed AcGdO2 crystal, with properties calculated at the PBE-GGA level.

Lattice parameters (Å, degrees): 3.609 3.609 6.487 73.85 73.85 60.00
Last column: magnetic moment on the atom in μB.
Element x y z (fractional)
Gd: 0.500 0.500 0.500  6.88
O: 0.768 0.768 0.697  -0.01
Ac: 0.000 0.000 0.000  -0.01
O: 0.232 0.232 0.303  -0.01

Calculated values
The calculation puts the raw formation energy at -10.867 eV per formula unit.

Below is a relaxed AcGdO2 crystal, with properties calculated at the PBE-GGA level.

Lattice parameters (Å, degrees): 3.191 3.191 6.321 90.00 90.00 90.00
Last column: magnetic moment on the atom in μB.
Element x y z (fractional)
Ac: 0.500 0.500 0.500  0.02
O: 0.000 0.000 0.238  -0.01
Gd: 0.500 0.500 0.000  7.08
O: 0.000 0.000 0.762  -0.01

Calculated values
The calculation puts the raw formation energy at -7.865 eV per formula unit.

Below is a relaxed Ac2GdO crystal, with properties calculated at the PBE-GGA level.

Lattice parameters (Å, degrees): 3.810 3.810 10.368 79.41 79.41 60.00
Last column: magnetic moment on the atom in μB.
Element x y z (fractional)
Gd: 0.000 0.000 0.000  -7.28
Ac: 0.117 0.117 0.649  -0.01
Ac: 0.883 0.883 0.351  -0.01
O: 0.500 0.500 0.500  0.01

Calculated values
The calculation puts the raw formation energy at -3.892 eV per formula unit.

Below is a relaxed Ac2GdO4 crystal, with properties calculated at the PBE-GGA level.

Lattice parameters (Å, degrees): 4.439 4.439 7.329 107.63 107.63 90.00
Last column: magnetic moment on the atom in μB.
Element x y z (fractional)
O: 0.500 0.000 0.000  0.00
O: 0.823 0.823 0.646  0.00
Gd: 0.000 0.000 0.000  6.90
Ac: 0.650 0.650 0.301  0.00
O: 0.177 0.177 0.354  0.00
Ac: 0.350 0.350 0.699  0.00
O: 0.000 0.500 0.000  0.00

Calculated values
The calculation puts the raw formation energy at -20.556 eV per formula unit.

Below is a relaxed Ac3GdO crystal, with properties calculated at the PBE-GGA level.

Lattice parameters (Å, degrees): 5.411 5.411 5.411 90.00 90.00 90.00
Last column: magnetic moment on the atom in μB.
Element x y z (fractional)
Ac: 0.500 0.000 0.000  -0.01
Ac: 0.000 0.000 0.500  -0.01
O: 0.000 0.000 0.000  0.00
Ac: 0.000 0.500 0.000  -0.01
Gd: 0.500 0.500 0.500  7.16

Calculated values
The calculation puts the raw formation energy at -5.292 eV per formula unit.

Below is a relaxed AcGdOs crystal, with properties calculated at the PBE-GGA level.

Lattice parameters (Å, degrees): 5.002 5.002 5.002 60.00 60.00 60.00
Last column: magnetic moment on the atom in μB.
Element x y z (fractional)
Gd: 0.000 0.000 0.000  7.07
Os: 0.250 0.250 0.250  -0.12
Ac: 0.500 0.500 0.500  0.01

Calculated values
As for the formation energy: -0.050 eV per atom.

Below is a relaxed AcGdOs crystal, with properties calculated at the PBE-GGA level.

Lattice parameters (Å, degrees): 3.565 3.565 7.441 103.86 103.86 90.00
Last column: magnetic moment on the atom in μB.
Element x y z (fractional)
Os: 0.659 0.659 0.319  -0.13
Ac: 0.293 0.293 0.587  0.02
Gd: 0.047 0.047 0.095  7.02

Calculated values
As for the formation energy: 0.011 eV per atom.

Below is a relaxed AcGdOs4 crystal, with properties calculated at the PBE-GGA level.

Lattice parameters (Å, degrees): 5.485 5.485 5.485 60.00 60.00 60.00
Last column: magnetic moment on the atom in μB.
Element x y z (fractional)
Os: 0.626 0.123 0.626  -0.14
Os: 0.626 0.626 0.123  -0.14
Gd: 0.000 0.000 0.000  6.96
Os: 0.626 0.626 0.626  -0.14
Ac: 0.250 0.250 0.250  0.01
Os: 0.123 0.626 0.626  -0.14

Calculated values
As for the formation energy: 0.027 eV per atom.

Below is a relaxed AcGd2Os crystal, with properties calculated at the PBE-GGA level.

Lattice parameters (Å, degrees): 4.045 4.045 9.750 78.03 78.03 60.00
Last column: magnetic moment on the atom in μB.
Element x y z (fractional)
Gd: 0.281 0.281 0.157  7.00
Os: 0.000 0.000 0.000  -0.13
Gd: 0.719 0.719 0.843  7.00
Ac: 0.500 0.500 0.500  -0.01

Calculated values
As for the formation energy: 0.057 eV per atom.

Below is a relaxed AcGd2Os crystal, with properties calculated at the PBE-GGA level.

Lattice parameters (Å, degrees): 3.520 3.520 9.567 90.00 90.00 90.00
Last column: magnetic moment on the atom in μB.
Element x y z (fractional)
Os: 0.500 0.500 0.000  0.21
Ac: 0.500 0.500 0.500  0.01
Gd: 0.000 0.000 0.172  -7.03
Gd: 0.000 0.000 0.828  -7.03

Calculated values
As for the formation energy: -0.048 eV per atom.

Below is a relaxed AcGd3Os crystal, with properties calculated at the PBE-GGA level.

Lattice parameters (Å, degrees): 5.543 5.543 5.543 90.00 90.00 90.00
Last column: magnetic moment on the atom in μB.
Element x y z (fractional)
Ac: 0.500 0.500 0.500  0.10
Gd: 0.000 0.500 0.000  7.06
Os: 0.000 0.000 0.000  -0.15
Gd: 0.000 0.000 0.500  7.06
Gd: 0.500 0.000 0.000  7.06

Calculated values
As for the formation energy: -0.040 eV per atom.

Below is a relaxed Ac2GdP crystal, with properties calculated at the PBE-GGA level.

Lattice parameters (Å, degrees): 4.149 4.149 10.371 78.46 78.46 60.00
Last column: magnetic moment on the atom in μB.
Element x y z (fractional)
P: 0.000 0.000 0.000  0.03
Ac: 0.272 0.272 0.185  0.07
Gd: 0.500 0.500 0.500  7.42
Ac: 0.728 0.728 0.815  0.07

Calculated values
As for the formation energy: -0.544 eV per atom.

| no. | spin magnetization (μB/f.u.) | D(E_F) (states/eV per cell) |
| --- | --- | --- |
| 1 | 7.182 | 2.661 |
| 2 | 7.125 | 4.333 |
| 3 | 7.085 | 3.863 |
| 4 | 7.209 | 3.855 |
| 5 | 22.620 | 6.607 |
| 6 | 7.142 | 3.936 |
| 7 | 7.135 | 4.354 |
| 8 | 7.123 | 3.287 |
| 9 | 6.926 | 0.926 |
| 10 | 7.210 | 2.508 |
| 11 | 7.764 | 7.734 |
| 12 | 7.000 | 0.400 |
| 13 | 7.279 | 4.927 |
| 14 | 7.158 | 2.052 |
| 15 | 7.068 | 2.051 |
| 16 | 6.501 | 8.242 |
| 17 | 14.084 | 3.313 |
| 18 | 14.101 | 3.011 |
| 19 | 22.005 | 5.489 |
| 20 | 8.749 | 7.767 |